[1]
Al2TcO | GGA-PBE | optimized geometry

abc: 5.7476 5.7476 5.2714
angles: 56.96 56.96 90.00
Last column: nearest neighbours and their distance in Å.
Fractional coordinates of all 8 atoms:
Tc  0.0000  0.0000  0.0000  4 Al 2.57
Tc  0.7500  0.2500  0.5000  4 Al 2.57
O  0.5000  0.5000  0.0000  4 Al 1.90
O  0.2500  0.7500  0.5000  4 Al 1.90
Al  0.5339  0.1250  0.2500  2 O 1.90
Al  0.2161  0.6250  0.2500  2 O 1.90
Al  0.3750  0.4661  0.7500  2 O 1.90
Al  0.8750  0.7839  0.7500  2 O 1.90

Values from the calculation:
Fermi-level density of states = 0.641 states/eV per atom
theoretical density = 5.0 g/cm3
formation energy (no corrections) = -0.6688 eV per atom
spin magnetization = 1.167 μB/f.u.


[2]
Na2SnPdS | GGA-PBE | optimized geometry

abc: 5.7940 4.8772 5.7940
angles: 90.00 90.00 90.00
Last column: nearest neighbours and their distance in Å.
Fractional coordinates of all 5 atoms:
Na  0.0000  0.0000  0.5000  2 Sn 2.90
Na  0.5000  0.0000  0.0000  2 Sn 2.90
S  0.5000  0.5000  0.5000  8 Na 3.79, 4 Pd 4.10
Sn  0.0000  0.0000  0.0000  2 Pd 2.44
Pd  0.0000  0.5000  0.0000  2 Sn 2.44

Values from the calculation:
Fermi-level density of states = 0.921 states/eV per atom
theoretical density = 3.1 g/cm3
formation energy (no corrections) = 0.3780 eV per atom
spin magnetization = 0.001 μB/f.u.


Copy entry 1 word for word.
Al2TcO | GGA-PBE | optimized geometry

abc: 5.7476 5.7476 5.2714
angles: 56.96 56.96 90.00
Last column: nearest neighbours and their distance in Å.
Fractional coordinates of all 8 atoms:
Tc  0.0000  0.0000  0.0000  4 Al 2.57
Tc  0.7500  0.2500  0.5000  4 Al 2.57
O  0.5000  0.5000  0.0000  4 Al 1.90
O  0.2500  0.7500  0.5000  4 Al 1.90
Al  0.5339  0.1250  0.2500  2 O 1.90
Al  0.2161  0.6250  0.2500  2 O 1.90
Al  0.3750  0.4661  0.7500  2 O 1.90
Al  0.8750  0.7839  0.7500  2 O 1.90

Values from the calculation:
Fermi-level density of states = 0.641 states/eV per atom
theoretical density = 5.0 g/cm3
formation energy (no corrections) = -0.6688 eV per atom
spin magnetization = 1.167 μB/f.u.


Fermi-level density of states of number 1 (Al2TcO)? 0.641 states/eV per atom


Among the records above, which one has the lowest Fermi-level density of states? Al2TcO


spin magnetization of number 1 (Al2TcO)? 1.167 μB/f.u.